# LiCd2Pt PBE-GGA relaxed
# relative energy among the computed polymorphs = 65 meV per atom
data_LiCd2Pt
_symmetry_space_group_name_H-M 'P 4/m m m'
_symmetry_Int_Tables_number 123
_symmetry_space_group_name_Hall '-P 4 2'
_cell_length_a 4.234
_cell_length_b 4.234
_cell_length_c 3.866
_cell_angle_alpha 90.00
_cell_angle_beta 90.00
_cell_angle_gamma 90.00
loop_
_atom_site_label
_atom_site_type_symbol
_atom_site_fract_x
_atom_site_fract_y
_atom_site_fract_z
Li1 Li 0.000 0.000 0.000
Cd1 Cd 0.000 0.500 0.500
Pt1 Pt 0.500 0.500 0.000



# PmDySb PBE-GGA relaxed
# relative energy among the computed polymorphs = 0 meV per atom
data_PmDySb
_symmetry_space_group_name_H-M 'F -4 3 m'
_symmetry_Int_Tables_number 216
_symmetry_space_group_name_Hall 'F -4 2 3'
_cell_length_a 7.259
_cell_length_b 7.259
_cell_length_c 7.259
_cell_angle_alpha 90.00
_cell_angle_beta 90.00
_cell_angle_gamma 90.00
loop_
_atom_site_label
_atom_site_type_symbol
_atom_site_fract_x
_atom_site_fract_y
_atom_site_fract_z
Pm1 Pm 0.000 0.000 0.000
Dy1 Dy 0.000 0.000 0.500
Sb1 Sb 0.250 0.250 0.750



# Lu4CoSnN2 PBE-GGA relaxed
# E_tot = -6.735 eV per atom
data_Lu4CoSnN2
_symmetry_space_group_name_H-M 'P -6 m 2'
_symmetry_Int_Tables_number 187
_symmetry_space_group_name_Hall 'P -6 2'
_cell_length_a 3.3776
_cell_length_b 3.3776
_cell_length_c 14.3054
_cell_angle_alpha 90.00
_cell_angle_beta 90.00
_cell_angle_gamma 120.00
loop_
_atom_site_label
_atom_site_type_symbol
_atom_site_fract_x
_atom_site_fract_y
_atom_site_fract_z
Lu1 Lu 0.0000 0.0000 0.1334
Lu2 Lu 0.6667 0.3333 0.3221
Co1 Co 0.6667 0.3333 0.0000
Sn1 Sn 0.0000 0.0000 0.5000
N1 N 0.3333 0.6667 0.2423



# Sr2MoPb PBE-GGA relaxed
# E_tot = -3.903 eV per atom
data_Sr2MoPb
_symmetry_space_group_name_H-M 'F -4 3 m'
_symmetry_Int_Tables_number 216
_symmetry_space_group_name_Hall 'F -4 2 3'
_cell_length_a 7.544
_cell_length_b 7.544
_cell_length_c 7.544
_cell_angle_alpha 90.00
_cell_angle_beta 90.00
_cell_angle_gamma 90.00
loop_
_atom_site_label
_atom_site_type_symbol
_atom_site_fract_x
_atom_site_fract_y
_atom_site_fract_z
Sr1 Sr 0.000 0.000 0.000
Sr2 Sr 0.250 0.250 0.250
Mo1 Mo 0.250 0.250 0.750
Pb1 Pb 0.000 0.000 0.500



# NpZnHg PBE-GGA relaxed
# relative energy among the computed polymorphs = 0 meV per atom
# ΔH_f (0 K) = 406 meV/atom
data_NpZnHg
_symmetry_space_group_name_H-M 'F -4 3 m'
_symmetry_Int_Tables_number 216
_symmetry_space_group_name_Hall 'F -4 2 3'
_cell_length_a 6.692
_cell_length_b 6.692
_cell_length_c 6.692
_cell_angle_alpha 90.00
_cell_angle_beta 90.00
_cell_angle_gamma 90.00
loop_
_atom_site_label
_atom_site_type_symbol
_atom_site_fract_x
_atom_site_fract_y
_atom_site_fract_z
Np1 Np 0.000 0.000 0.000
Zn1 Zn 0.250 0.250 0.750
Hg1 Hg 0.000 0.000 0.500



# Al2AgMo PBE-GGA relaxed
# E_tot = -4.974 eV per atom
data_Al2AgMo
_symmetry_space_group_name_H-M 'F -4 3 m'
_symmetry_Int_Tables_number 216
_symmetry_space_group_name_Hall 'F -4 2 3'
_cell_length_a 6.346
_cell_length_b 6.346
_cell_length_c 6.346
_cell_angle_alpha 90.00
_cell_angle_beta 90.00
_cell_angle_gamma 90.00
loop_
_atom_site_label
_atom_site_type_symbol
_atom_site_fract_x
_atom_site_fract_y
_atom_site_fract_z
Al1 Al 0.000 0.000 0.000
Al2 Al 0.250 0.250 0.250
Ag1 Ag 0.250 0.250 0.750
Mo1 Mo 0.000 0.000 0.500



# TcAsNO PBE-GGA relaxed
# relative energy among the computed polymorphs = 73 meV per atom
data_TcAsNO
_symmetry_space_group_name_H-M 'P c a 21'
_symmetry_Int_Tables_number 29
_cell_length_a 5.931
_cell_length_b 7.079
_cell_length_c 4.877
_cell_angle_alpha 90.00
_cell_angle_beta 90.00
_cell_angle_gamma 90.00
loop_
_symmetry_equiv_pos_as_xyz
'x,y,z'
'-x,-y,z+1/2'
'-x+1/2,y,z+1/2'
'x+1/2,-y,z'
loop_
_atom_site_label
_atom_site_type_symbol
_atom_site_fract_x
_atom_site_fract_y
_atom_site_fract_z
Tc1 Tc 0.155 0.162 0.000
As1 As 0.029 0.652 0.951
N1 N 0.013 0.605 0.563
O1 O 0.121 0.988 0.671



# SrLu2Cu PBE-GGA relaxed
# E_tot = -3.244 eV per atom
data_SrLu2Cu
_symmetry_space_group_name_H-M 'F -4 3 m'
_symmetry_Int_Tables_number 216
_symmetry_space_group_name_Hall 'F -4 2 3'
_cell_length_a 7.612
_cell_length_b 7.612
_cell_length_c 7.612
_cell_angle_alpha 90.00
_cell_angle_beta 90.00
_cell_angle_gamma 90.00
loop_
_atom_site_label
_atom_site_type_symbol
_atom_site_fract_x
_atom_site_fract_y
_atom_site_fract_z
Sr1 Sr 0.000 0.000 0.000
Lu1 Lu 0.000 0.000 0.500
Lu2 Lu 0.250 0.250 0.750
Cu1 Cu 0.250 0.250 0.250



# LiNbTlFe PBE-GGA relaxed
# relative energy among the computed polymorphs = 0 meV per atom
data_LiNbTlFe
_symmetry_space_group_name_H-M 'F -4 3 m'
_symmetry_Int_Tables_number 216
_symmetry_space_group_name_Hall 'F -4 2 3'
_cell_length_a 6.258
_cell_length_b 6.258
_cell_length_c 6.258
_cell_angle_alpha 90.00
_cell_angle_beta 90.00
_cell_angle_gamma 90.00
loop_
_atom_site_label
_atom_site_type_symbol
_atom_site_fract_x
_atom_site_fract_y
_atom_site_fract_z
Li1 Li 0.000 0.000 0.000
Nb1 Nb 0.250 0.250 0.750
Tl1 Tl 0.250 0.250 0.250
Fe1 Fe 0.000 0.000 0.500



# ReNiB2 PBE-GGA relaxed
# E_tot = -6.850 eV per atom
data_ReNiB2
_symmetry_space_group_name_H-M 'F -4 3 m'
_symmetry_Int_Tables_number 216
_symmetry_space_group_name_Hall 'F -4 2 3'
_cell_length_a 5.419
_cell_length_b 5.419
_cell_length_c 5.419
_cell_angle_alpha 90.00
_cell_angle_beta 90.00
_cell_angle_gamma 90.00
loop_
_atom_site_label
_atom_site_type_symbol
_atom_site_fract_x
_atom_site_fract_y
_atom_site_fract_z
Re1 Re 0.000 0.000 0.000
Ni1 Ni 0.250 0.250 0.750
B1 B 0.000 0.000 0.500
B2 B 0.250 0.250 0.250



# TmScCdC PBE-GGA relaxed
# E_tot = -5.605 eV per atom
data_TmScCdC
_symmetry_space_group_name_H-M 'P 63 m c'
_symmetry_Int_Tables_number 186
_symmetry_space_group_name_Hall 'P 6c -2c'
_cell_length_a 3.4121
_cell_length_b 3.4121
_cell_length_c 15.9761
_cell_angle_alpha 90.00
_cell_angle_beta 90.00
_cell_angle_gamma 120.00
loop_
_atom_site_label
_atom_site_type_symbol
_atom_site_fract_x
_atom_site_fract_y
_atom_site_fract_z
Tm1 Tm 0.3333 0.6667 0.0000
Sc1 Sc 0.3333 0.6667 0.6602
Cd1 Cd 0.3333 0.6667 0.3259
C1 C 0.0000 0.0000 0.0855



# Er2Mg3GaNi2 PBE-GGA relaxed
# E_tot = -3.841 eV per atom
data_Er2Mg3GaNi2
_symmetry_space_group_name_H-M 'C 1 m 1'
_symmetry_Int_Tables_number 8
_cell_length_a 9.734
_cell_length_b 4.068
_cell_length_c 7.827
_cell_angle_alpha 90.00
_cell_angle_beta 90.83
_cell_angle_gamma 90.00
loop_
_symmetry_equiv_pos_as_xyz
'x,y,z'
'x,-y,z'
'x+1/2,y+1/2,z'
'x+1/2,-y+1/2,z'
loop_
_atom_site_label
_atom_site_type_symbol
_atom_site_fract_x
_atom_site_fract_y
_atom_site_fract_z
Er1 Er 0.000 0.000 0.000
Er2 Er 0.123 0.000 0.527
Mg1 Mg 0.212 0.500 0.819
Mg2 Mg 0.214 0.500 0.212
Mg3 Mg 0.412 0.000 0.323
Ga1 Ga 0.413 0.000 0.711
Ni1 Ni 0.297 0.000 0.003
Ni2 Ni 0.339 0.500 0.530



# BaLuSn2 PBE-GGA relaxed
# E_tot = -3.649 eV per atom
data_BaLuSn2
_symmetry_space_group_name_H-M 'F -4 3 m'
_symmetry_Int_Tables_number 216
_symmetry_space_group_name_Hall 'F -4 2 3'
_cell_length_a 7.916
_cell_length_b 7.916
_cell_length_c 7.916
_cell_angle_alpha 90.00
_cell_angle_beta 90.00
_cell_angle_gamma 90.00
loop_
_atom_site_label
_atom_site_type_symbol
_atom_site_fract_x
_atom_site_fract_y
_atom_site_fract_z
Ba1 Ba 0.000 0.000 0.000
Lu1 Lu 0.250 0.250 0.250
Sn1 Sn 0.000 0.000 0.500
Sn2 Sn 0.250 0.250 0.750



# Tb3Mg3Tl2In PBE-GGA relaxed
# E_tot = -3.245 eV per atom
data_Tb3Mg3Tl2In
_symmetry_space_group_name_H-M 'P -6 2 m'
_symmetry_Int_Tables_number 189
_symmetry_space_group_name_Hall 'P -6 -2'
_cell_length_a 7.5486
_cell_length_b 7.5486
_cell_length_c 4.6723
_cell_angle_alpha 90.00
_cell_angle_beta 90.00
_cell_angle_gamma 120.00
loop_
_atom_site_label
_atom_site_type_symbol
_atom_site_fract_x
_atom_site_fract_y
_atom_site_fract_z
Tb1 Tb 0.0000 0.5679 0.0000
Mg1 Mg 0.0000 0.2415 0.5000
Tl1 Tl 0.3333 0.6667 0.5000
In1 In 0.0000 0.0000 0.0000



# Ag3OsS PBE-GGA relaxed
# E_tot = -3.450 eV per atom
data_Ag3OsS
_symmetry_space_group_name_H-M 'P m -3 m'
_symmetry_Int_Tables_number 221
_symmetry_space_group_name_Hall '-P 4 2 3'
_cell_length_a 4.730
_cell_length_b 4.730
_cell_length_c 4.730
_cell_angle_alpha 90.00
_cell_angle_beta 90.00
_cell_angle_gamma 90.00
loop_
_atom_site_label
_atom_site_type_symbol
_atom_site_fract_x
_atom_site_fract_y
_atom_site_fract_z
Ag1 Ag 0.000 0.000 0.500
Os1 Os 0.500 0.500 0.500
S1 S 0.000 0.000 0.000



# YBeMo PBE-GGA relaxed
# relative energy among the computed polymorphs = 0 meV per atom
data_YBeMo
_symmetry_space_group_name_H-M 'F -4 3 m'
_symmetry_Int_Tables_number 216
_symmetry_space_group_name_Hall 'F -4 2 3'
_cell_length_a 6.312
_cell_length_b 6.312
_cell_length_c 6.312
_cell_angle_alpha 90.00
_cell_angle_beta 90.00
_cell_angle_gamma 90.00
loop_
_atom_site_label
_atom_site_type_symbol
_atom_site_fract_x
_atom_site_fract_y
_atom_site_fract_z
Y1 Y 0.000 0.000 0.000
Be1 Be 0.000 0.000 0.500
Mo1 Mo 0.250 0.250 0.750



# TmZnNi PBE-GGA relaxed
# ΔH_f (0 K) = -493 meV/atom
data_TmZnNi
_symmetry_space_group_name_H-M 'P n m a'
_symmetry_Int_Tables_number 62
_cell_length_a 6.634
_cell_length_b 3.962
_cell_length_c 7.832
_cell_angle_alpha 90.00
_cell_angle_beta 90.00
_cell_angle_gamma 90.00
loop_
_symmetry_equiv_pos_as_xyz
'x,y,z'
'-x,-y,-z'
'-x+1/2,-y,z+1/2'
'x+1/2,y,-z+1/2'
'x+1/2,-y+1/2,-z+1/2'
'-x+1/2,y+1/2,z+1/2'
'-x,y+1/2,-z'
'x,-y+1/2,z'
loop_
_atom_site_label
_atom_site_type_symbol
_atom_site_fract_x
_atom_site_fract_y
_atom_site_fract_z
Tm1 Tm 0.039 0.250 0.183
Zn1 Zn 0.141 0.250 0.560
Ni1 Ni 0.242 0.750 0.375



# YGaNi2 PBE-GGA relaxed
# E_tot = -5.358 eV per atom
data_YGaNi2
_symmetry_space_group_name_H-M 'F -4 3 m'
_symmetry_Int_Tables_number 216
_symmetry_space_group_name_Hall 'F -4 2 3'
_cell_length_a 6.356
_cell_length_b 6.356
_cell_length_c 6.356
_cell_angle_alpha 90.00
_cell_angle_beta 90.00
_cell_angle_gamma 90.00
loop_
_atom_site_label
_atom_site_type_symbol
_atom_site_fract_x
_atom_site_fract_y
_atom_site_fract_z
Y1 Y 0.000 0.000 0.000
Ga1 Ga 0.250 0.250 0.750
Ni1 Ni 0.000 0.000 0.500
Ni2 Ni 0.250 0.250 0.250



# NdGdH2I4 PBE-GGA relaxed
# E_tot = -4.010 eV per atom
data_NdGdH2I4
_symmetry_space_group_name_H-M 'P -6 m 2'
_symmetry_Int_Tables_number 187
_symmetry_space_group_name_Hall 'P -6 2'
_cell_length_a 4.0833
_cell_length_b 4.0833
_cell_length_c 16.4411
_cell_angle_alpha 90.00
_cell_angle_beta 90.00
_cell_angle_gamma 120.00
loop_
_atom_site_label
_atom_site_type_symbol
_atom_site_fract_x
_atom_site_fract_y
_atom_site_fract_z
Nd1 Nd 0.0000 0.0000 0.0000
Gd1 Gd 0.0000 0.0000 0.5000
H1 H 0.3333 0.6667 0.0000
H2 H 0.6667 0.3333 0.5000
I1 I 0.3333 0.6667 0.3716
I2 I 0.6667 0.3333 0.1327



# TcPdPt2 PBE-GGA relaxed
# relative energy among the computed polymorphs = 0 meV per atom
# ΔH_f (0 K) = -175 meV/atom
data_TcPdPt2
_symmetry_space_group_name_H-M 'P 4/m m m'
_symmetry_Int_Tables_number 123
_symmetry_space_group_name_Hall '-P 4 2'
_cell_length_a 2.761
_cell_length_b 2.761
_cell_length_c 7.958
_cell_angle_alpha 90.00
_cell_angle_beta 90.00
_cell_angle_gamma 90.00
loop_
_atom_site_label
_atom_site_type_symbol
_atom_site_fract_x
_atom_site_fract_y
_atom_site_fract_z
Tc1 Tc 0.000 0.000 0.000
Pd1 Pd 0.000 0.000 0.500
Pt1 Pt 0.500 0.500 0.238



# Ba2NaTcS6 PBE-GGA relaxed
# relative energy among the computed polymorphs = 0 meV per atom
data_Ba2NaTcS6
_symmetry_space_group_name_H-M 'C 1 2/m 1'
_symmetry_Int_Tables_number 12
_cell_length_a 12.684
_cell_length_b 6.050
_cell_length_c 7.887
_cell_angle_alpha 90.00
_cell_angle_beta 127.01
_cell_angle_gamma 90.00
loop_
_symmetry_equiv_pos_as_xyz
'x,y,z'
'-x,-y,-z'
'-x,y,-z'
'x,-y,z'
'x+1/2,y+1/2,z'
'-x+1/2,-y+1/2,-z'
'-x+1/2,y+1/2,-z'
'x+1/2,-y+1/2,z'
loop_
_atom_site_label
_atom_site_type_symbol
_atom_site_fract_x
_atom_site_fract_y
_atom_site_fract_z
Ba1 Ba 0.249 0.000 0.263
Na1 Na 0.000 0.000 0.500
Tc1 Tc 0.000 0.500 0.000
S1 S 0.046 0.238 0.826
S2 S 0.227 0.500 0.308



# TcBiSb2 PBE-GGA relaxed
# E_tot = -5.023 eV per atom
data_TcBiSb2
_symmetry_space_group_name_H-M 'F -4 3 m'
_symmetry_Int_Tables_number 216
_symmetry_space_group_name_Hall 'F -4 2 3'
_cell_length_a 7.159
_cell_length_b 7.159
_cell_length_c 7.159
_cell_angle_alpha 90.00
_cell_angle_beta 90.00
_cell_angle_gamma 90.00
loop_
_atom_site_label
_atom_site_type_symbol
_atom_site_fract_x
_atom_site_fract_y
_atom_site_fract_z
Tc1 Tc 0.000 0.000 0.000
Bi1 Bi 0.250 0.250 0.250
Sb1 Sb 0.000 0.000 0.500
Sb2 Sb 0.250 0.250 0.750



# LuHf2Fe4Ge4 PBE-GGA relaxed
# E_tot = -7.431 eV per atom
data_LuHf2Fe4Ge4
_symmetry_space_group_name_H-M 'I m m m'
_symmetry_Int_Tables_number 71
_symmetry_space_group_name_Hall '-I 2 2'
_cell_length_a 3.885
_cell_length_b 6.754
_cell_length_c 13.011
_cell_angle_alpha 90.00
_cell_angle_beta 90.00
_cell_angle_gamma 90.00
loop_
_atom_site_label
_atom_site_type_symbol
_atom_site_fract_x
_atom_site_fract_y
_atom_site_fract_z
Lu1 Lu 0.000 0.000 0.000
Hf1 Hf 0.000 0.500 0.128
Fe1 Fe 0.000 0.304 0.322
Ge1 Ge 0.000 0.000 0.219
Ge2 Ge 0.000 0.192 0.500